No. 1
Below is crystalline Sr2NbSiO at its relaxed geometry, with properties calculated at the PBE level.

Geometry as extended XYZ:
```
5
Lattice="6.2916 0.0000 0.0000 0.0000 3.8966 0.0000 0.0000 0.0000 6.2916" Properties=species:S:1:pos:R:3 pbc="T T T"
Sr 0.0000 0.0000 3.1458
Sr 3.1458 0.0000 0.0000
O 0.0000 1.9483 0.0000
Nb 0.0000 0.0000 0.0000
Si 3.1458 1.9483 3.1458
```

Calculated values
Crystal system: tetragonal
Raw formation energy, eV/atom: -0.0471

No. 2
Below is crystalline SrNbSiO6 at its relaxed geometry, with properties calculated at the PBE level.

Geometry as extended XYZ:
```
9
Lattice="-0.9480 -1.5529 -4.7934 2.0444 -4.3720 -1.7300 -4.2937 -2.6884 1.7201" Properties=species:S:1:pos:R:3 pbc="T T T"
O -0.4320 -4.0225 -2.2792
Nb -1.4158 -5.2940 -3.4887
O -0.5885 -2.4786 -0.2572
O -3.2679 -2.5716 -0.6231
O -1.8201 -1.8888 -2.4094
Si -1.7813 -3.3191 -1.3143
O -1.7807 -4.5430 0.0080
O -2.7986 -4.4101 -2.3250
Sr -5.2416 -4.2412 -3.0731
```

Calculated values
Crystal system: trigonal
Raw formation energy, eV/atom: -2.4709

No. 3
Below is crystalline SrNbSi2O8 at its relaxed geometry, with properties calculated at the PBE level.

Geometry as extended XYZ:
```
12
Lattice="5.3764 0.0000 0.0000 -2.6882 4.6561 0.0000 0.0000 0.0000 6.9949" Properties=species:S:1:pos:R:3 pbc="T T T"
O 0.0000 3.1041 3.5905
O 2.6882 1.5520 3.4044
O 4.0247 0.7804 1.2301
Si 0.0000 3.1041 5.2271
O 2.6882 3.0953 1.2301
Sr 0.0000 0.0000 3.4975
O 0.0000 1.5609 5.7648
O 1.3365 3.8757 5.7648
O 1.3517 0.7804 1.2301
O -1.3365 3.8757 5.7648
Si 2.6882 1.5520 1.7678
Nb 0.0000 0.0000 0.0000
```

Calculated values
Crystal system: trigonal
Raw formation energy, eV/atom: -2.5572

No. 4
Below is crystalline Nb2ZnSiO at its relaxed geometry, with properties calculated at the PBE level.

Geometry as extended XYZ:
```
5
Lattice="4.8322 0.0000 0.0000 0.0000 4.0581 0.0000 0.0000 0.0000 4.8322" Properties=species:S:1:pos:R:3 pbc="T T T"
Nb 2.4161 0.0000 0.0000
Nb 0.0000 0.0000 2.4161
Zn 0.0000 0.0000 0.0000
Si 0.0000 2.0291 0.0000
O 2.4161 2.0291 2.4161
```

Calculated values
Crystal system: tetragonal
Raw formation energy, eV/atom: 1.3848

| no. | DFT total energy (eV/atom) |
| --- | --- |
| 1 | -4.810 |
| 2 | -7.685 |
| 3 | -7.746 |
| 4 | -4.974 |